Below is a relaxed K2BaBr crystal, with properties calculated at the PBE level.

Computed properties:
Fermi-level density of states   6.20 states/eV/cell
Formation energy without anion corrections   -0.717 eV per atom
DFT total energy   -17.3 eV for the cell shown
Excess energy over the best structure of this formula in the dataset   49 meV/atom
Total moment   0.00 μB/f.u.

a b c (Å): 6.728 14.535 4.620
angles (deg): 90.00 90.00 90.00
Space group Cmmm (No. 65)
Inequivalent atoms, fractional coordinates:
1 K 0.000 0.174 0.000 (multiplicity 4)
2 Ba 0.000 0.500 0.500 (multiplicity 2)
3 Br 0.000 0.000 0.500 (multiplicity 2)